# 1
{
  "formula": "Al5Se",
  "functional": "GGA-PBE",
  "state": "optimized geometry",
  "lattice": [[-5.618, -4.272, -3.085], [5.146, 2.114, 5.326], [-3.173, 2.747, 1.975]],
  "species": ["Al", "Al", "Al", "Al", "Al", "Se"],
  "fractional_positions": [[0.652, 0.348, 0.000], [0.993, 0.007, 0.000], [0.780, 0.220, 0.500], [0.322, 0.678, 0.000], [0.440, 0.560, 0.500], [0.146, 0.854, 0.500]],
  "raw_formation_energy_ev_per_atom": 0.068,
  "total_energy_ev_per_atom": -3.63,
  "crystal_system": "orthorhombic",
  "polymorph_energy_mev_per_atom": 34
}

# 2
{
  "formula": "Tl2Ga2Sn",
  "functional": "GGA-PBE",
  "state": "optimized geometry",
  "lattice": [[-0.569, -2.716, 2.521], [0.301, -2.576, -2.707], [9.299, -3.179, 1.462]],
  "species": ["Ga", "Ga", "Sn", "Tl", "Tl"],
  "fractional_positions": [[0.750, 0.250, 0.500], [0.250, 0.750, 0.500], [0.000, 0.000, 0.000], [0.609, 0.609, 0.783], [0.391, 0.391, 0.217]],
  "delta_e_f_ev_per_fu": 0.5,
  "total_energy_ev_per_atom": -2.85,
  "crystal_system": "tetragonal",
  "polymorph_energy_mev_per_atom": 54
}

# 3
{
  "formula": "Mn3NbTe",
  "functional": "GGA-PBE",
  "state": "optimized geometry",
  "lattice": [[-4.278, 1.712, 1.171], [-0.721, -3.745, 2.840], [1.945, 2.377, 3.629]],
  "species": ["Mn", "Mn", "Mn", "Nb", "Te"],
  "fractional_positions": [[0.000, 0.000, 0.500], [0.500, 0.000, 0.000], [0.000, 0.500, 0.000], [0.000, 0.000, 0.000], [0.500, 0.500, 0.500]],
  "raw_formation_energy_ev_per_atom": 1.169,
  "total_energy_ev_per_atom": -6.98,
  "crystal_system": "cubic",
  "polymorph_energy_mev_per_atom": 0
}